1.
# Ce2EuGd GGA-PBE optimized geometry
# * VASP energy: -8.846 eV per atom
# * ΔH_f (0 K): 210 meV per atom
# * volume: 127 Å³/f.u.
data_Ce2EuGd
_symmetry_space_group_name_H-M 'P 4/m m m'
_symmetry_Int_Tables_number 123
_symmetry_space_group_name_Hall '-P 4 2'
_cell_length_a 4.968
_cell_length_b 4.968
_cell_length_c 5.163
_cell_angle_alpha 90.00
_cell_angle_beta 90.00
_cell_angle_gamma 90.00
loop_
_atom_site_label
_atom_site_type_symbol
_atom_site_fract_x
_atom_site_fract_y
_atom_site_fract_z
_atom_site_occupancy
Ce1 Ce 0.000 0.500 0.000 1
Eu1 Eu 0.000 0.000 0.500 1
Gd1 Gd 0.500 0.500 0.500 1

---

2.
# Li4Re5 GGA-PBE optimized geometry
# * VASP energy: -7.496 eV per atom
# * ΔH_f (0 K): 270 meV per atom
# * volume: 126 Å³/f.u.
data_Li4Re5
_symmetry_space_group_name_H-M 'I 4/m m m'
_symmetry_Int_Tables_number 139
_symmetry_space_group_name_Hall '-I 4 2'
_cell_length_a 8.914
_cell_length_b 8.914
_cell_length_c 3.166
_cell_angle_alpha 90.00
_cell_angle_beta 90.00
_cell_angle_gamma 90.00
loop_
_atom_site_label
_atom_site_type_symbol
_atom_site_fract_x
_atom_site_fract_y
_atom_site_fract_z
_atom_site_occupancy
Li1 Li 0.000 0.333 0.000 1
Re1 Re 0.000 0.000 0.000 1
Re2 Re 0.172 0.172 0.500 1

---

3.
# Mn2NiPd8 GGA-PBE optimized geometry
# * VASP energy: -5.921 eV per atom
# * ΔH_f (0 K): 49 meV per atom
# * volume: 171 Å³/f.u.
data_Mn2NiPd8
_symmetry_space_group_name_H-M 'C 1 2/m 1'
_symmetry_Int_Tables_number 12
_symmetry_space_group_name_Hall '-C 2y'
_cell_length_a 7.906
_cell_length_b 10.418
_cell_length_c 4.165
_cell_angle_alpha 90.00
_cell_angle_beta 90.16
_cell_angle_gamma 90.00
loop_
_atom_site_label
_atom_site_type_symbol
_atom_site_fract_x
_atom_site_fract_y
_atom_site_fract_z
_atom_site_occupancy
Mn1 Mn 0.000 0.126 0.000 1
Ni1 Ni 0.000 0.500 0.500 1
Pd1 Pd 0.000 0.255 0.500 1
Pd2 Pd 0.171 0.000 0.499 1
Pd3 Pd 0.174 0.368 0.001 1

---

4.
# LiCuP2 GGA-PBE optimized geometry
# * VASP energy: -4.372 eV per atom
# * ΔH_f (0 K): -165 meV per atom
# * volume: 65 Å³/f.u.
data_LiCuP2
_symmetry_space_group_name_H-M 'P 1 2/m 1'
_symmetry_Int_Tables_number 10
_symmetry_space_group_name_Hall '-P 2y'
_cell_length_a 3.566
_cell_length_b 3.666
_cell_length_c 4.992
_cell_angle_alpha 90.00
_cell_angle_beta 96.18
_cell_angle_gamma 90.00
loop_
_atom_site_label
_atom_site_type_symbol
_atom_site_fract_x
_atom_site_fract_y
_atom_site_fract_z
_atom_site_occupancy
Li1 Li 0.000 0.000 0.000 1
Cu1 Cu 0.500 0.000 0.500 1
P1 P 0.455 0.500 0.788 1

---

5.
# ZrSi GGA-PBE optimized geometry
# * uncorrected formation energy: -566 meV/atom
# * VASP energy: -7.551 eV per atom
# * volume: 36 Å³/f.u.
data_ZrSi
_symmetry_space_group_name_H-M 'I 41/a m d'
_symmetry_Int_Tables_number 141
_cell_length_a 3.937
_cell_length_b 3.937
_cell_length_c 9.278
_cell_angle_alpha 90.00
_cell_angle_beta 90.00
_cell_angle_gamma 90.00
loop_
_symmetry_equiv_pos_as_xyz
'x,y,z'
'-x,-y,-z'
'-y+1/4,x+3/4,z+1/4'
'y+1/4,-x+3/4,-z+1/4'
'-x+1/2,-y,z+1/2'
'x+1/2,y,-z+1/2'
'y+1/4,-x+1/4,z+3/4'
'-y+1/4,x+1/4,-z+3/4'
'x,-y,-z'
'-x,y,z'
'-y+1/4,-x+1/4,-z+3/4'
'y+1/4,x+1/4,z+3/4'
'-x+1/2,y,-z+1/2'
'x+1/2,-y,z+1/2'
'y+1/4,x+3/4,-z+1/4'
'-y+1/4,-x+3/4,z+1/4'
'x+1/2,y+1/2,z+1/2'
'-x+1/2,-y+1/2,-z+1/2'
'-y+3/4,x+1/4,z+3/4'
'y+3/4,-x+1/4,-z+3/4'
'-x,-y+1/2,z'
'x,y+1/2,-z'
'y+3/4,-x+3/4,z+1/4'
'-y+3/4,x+3/4,-z+1/4'
'x+1/2,-y+1/2,-z+1/2'
'-x+1/2,y+1/2,z+1/2'
'-y+3/4,-x+3/4,-z+1/4'
'y+3/4,x+3/4,z+1/4'
'-x,y+1/2,-z'
'x,-y+1/2,z'
'y+3/4,x+1/4,-z+3/4'
'-y+3/4,-x+1/4,z+3/4'
loop_
_atom_site_label
_atom_site_type_symbol
_atom_site_fract_x
_atom_site_fract_y
_atom_site_fract_z
_atom_site_occupancy
Zr1 Zr 0.000 0.250 0.375 1
Si1 Si 0.000 0.250 0.875 1

---

6.
# La6AlAg2 GGA-PBE optimized geometry
# * VASP energy: -4.497 eV per atom
# * ΔH_f (0 K): -163 meV per atom
# * volume: 283 Å³/f.u.
data_La6AlAg2
_symmetry_space_group_name_H-M 'I m m m'
_symmetry_Int_Tables_number 71
_symmetry_space_group_name_Hall '-I 2 2'
_cell_length_a 10.310
_cell_length_b 10.463
_cell_length_c 10.485
_cell_angle_alpha 90.00
_cell_angle_beta 90.00
_cell_angle_gamma 90.00
loop_
_atom_site_label
_atom_site_type_symbol
_atom_site_fract_x
_atom_site_fract_y
_atom_site_fract_z
_atom_site_occupancy
La1 La 0.000 0.196 0.249 1
La2 La 0.232 0.500 0.175 1
La3 La 0.233 0.319 0.500 1
Al1 Al 0.000 0.000 0.000 1
Al2 Al 0.000 0.000 0.500 1
Ag1 Ag 0.000 0.362 0.000 1
Ag2 Ag 0.000 0.500 0.367 1

---

7.
# AcCeRh2 GGA-PBE optimized geometry
# * VASP energy: -6.737 eV per atom
# * ΔH_f (0 K): -551 meV per atom
# * volume: 102 Å³/f.u.
data_AcCeRh2
_symmetry_space_group_name_H-M 'R 3 m'
_symmetry_Int_Tables_number 160
_symmetry_space_group_name_Hall 'R 3 -2"'
_cell_length_a 4.0366
_cell_length_b 4.0366
_cell_length_c 21.6605
_cell_angle_alpha 90.00
_cell_angle_beta 90.00
_cell_angle_gamma 120.00
loop_
_atom_site_label
_atom_site_type_symbol
_atom_site_fract_x
_atom_site_fract_y
_atom_site_fract_z
_atom_site_occupancy
Ac1 Ac 0.0000 0.0000 0.0000 1
Ce1 Ce 0.0000 0.0000 0.8281 1
Rh1 Rh 0.0000 0.0000 0.2358 1
Rh2 Rh 0.0000 0.0000 0.4231 1

---

8.
# KMnGeTe3 GGA-PBE optimized geometry
# * uncorrected formation energy: -369 meV/atom
# * VASP energy: -4.421 eV per atom
# * volume: 192 Å³/f.u.
data_KMnGeTe3
_symmetry_space_group_name_H-M 'P 1 21/m 1'
_symmetry_Int_Tables_number 11
_symmetry_space_group_name_Hall '-P 2yb'
_cell_length_a 9.167
_cell_length_b 4.066
_cell_length_c 11.099
_cell_angle_alpha 90.00
_cell_angle_beta 111.80
_cell_angle_gamma 90.00
loop_
_atom_site_label
_atom_site_type_symbol
_atom_site_fract_x
_atom_site_fract_y
_atom_site_fract_z
_atom_site_occupancy
K1 K 0.225 0.250 0.266 1
Mn1 Mn 0.362 0.750 0.841 1
Ge1 Ge 0.116 0.250 0.549 1
Te1 Te 0.134 0.250 0.797 1
Te2 Te 0.337 0.750 0.577 1
Te3 Te 0.414 0.750 0.104 1